Here is crystalline Pa4CSe3 at its relaxed geometry from Alexandria via LeMat-Bulk. Energies are from PBE.

As for the crystal system: orthorhombic. The calculation puts the uncorrected formation energy at -1.01 eV per atom. Its spin magnetization is 0.00 μB per formula unit.

The structure belongs to space group Cmmm (No. 65); the cell edges are 8.3360, 11.2374 and 3.7672 Å and the angles 90.00°, 90.00° and 90.00°. The distinct sites, in fractional coordinates, are Pa at (0.0000, 0.2293, 0.0000), Pa at (0.2104, 0.0000, 0.5000), C at (0.0000, 0.0000, 0.0000), Se at (0.0000, 0.5000, 0.0000) and Se at (0.2500, 0.2500, 0.5000).